Entry 1:
## NdThBr5 (PBE-GGA)

Data for crystalline NdThBr5 at its relaxed geometry.

POSCAR file:
```
NdThBr5
1.0
-2.038 -0.236 3.399
-1.758 -8.371 -1.635
11.743 -2.867 6.844
Br Nd Th
10 2 2
Cartesian
2.936 -1.529 2.814
-1.144 -7.459 -0.044
4.348 -7.228 3.265
0.325 -3.408 1.118
0.667 -6.394 3.435
7.621 -8.066 7.490
3.599 -4.246 5.342
9.090 -4.015 8.652
5.010 -9.945 5.793
7.279 -5.080 5.173
5.187 -6.904 6.110
2.759 -4.570 2.497
7.946 -9.978 5.233
0.000 -1.496 3.375
```

Computed properties:
Symmetry   P2_1/m (11)
DOS(E_F)   2.77 states/eV/f.u.
Volume   479.3 Å³/cell
ΔE_f (raw)   -1.626 eV per atom


Entry 2:
## CaNd4Sm4 (PBE-GGA)

Data for crystalline CaNd4Sm4 at its relaxed geometry.

POSCAR file:
```
CaNd4Sm4
1.0
10.170 -4.264 -0.016
-5.252 8.092 -1.238
-0.013 -1.702 10.903
Nd Sm Ca
8 8 2
Cartesian
0.993 -0.930 3.888
-1.963 4.730 4.116
8.826 -2.652 2.381
6.868 -2.604 5.533
1.953 3.030 8.876
-3.920 4.778 7.268
2.953 -0.905 0.773
3.912 3.056 5.762
0.248 2.337 5.662
0.588 -0.143 10.218
4.955 -2.661 8.633
-0.049 4.787 1.016
4.317 2.269 -0.569
6.561 -0.198 0.904
-1.655 2.323 8.745
4.657 -0.211 3.987
2.629 -0.156 7.114
2.277 2.282 2.535
```

Computed properties:
Symmetry   P-1 (2)
DOS(E_F)   13.95 states/eV/f.u.
Volume   631.5 Å³/cell
Formation enthalpy at 0 K   38 meV per atom


Entry 3:
## La3TaRu (PBE-GGA)

Data for crystalline La3TaRu at its relaxed geometry.

POSCAR file:
```
La3TaRu
1.0
5.385 0.000 0.000
0.000 5.385 0.000
0.000 0.000 5.385
La Ta Ru
3 1 1
Cartesian
2.693 0.000 0.000
0.000 2.693 0.000
0.000 0.000 2.693
2.693 2.693 2.693
0.000 0.000 0.000
```

Computed properties:
Symmetry   Pm-3m (221)
DOS(E_F)   11.46 states/eV/f.u.
Volume   156.2 Å³/cell
Formation enthalpy at 0 K   593 meV per atom
Distance to the lowest polymorph of the same formula   0.000 eV per atom


Entry 4:
## AlGa4Ag (PBE-GGA)

Data for crystalline AlGa4Ag at its relaxed geometry.

POSCAR file:
```
AlGa4Ag
1.0
-0.590 4.723 -3.254
-7.078 -2.326 0.419
3.141 1.687 5.730
Ga Ag Al
8 2 2
Cartesian
-5.324 3.033 -2.322
0.796 1.050 5.217
-2.763 2.235 -1.376
-1.765 1.848 4.271
-3.125 3.753 0.922
-5.107 -0.144 3.211
-1.403 0.330 1.972
0.580 4.227 -0.316
-0.208 1.430 -0.441
-4.320 2.653 3.336
-3.951 1.117 1.039
-0.577 2.966 1.855
```

Computed properties:
Symmetry   C2/c (15)
DOS(E_F)   2.13 states/eV/f.u.
Volume   221.1 Å³/cell
Formation enthalpy at 0 K   39 meV per atom
Distance to the lowest polymorph of the same formula   0.000 eV per atom


Number 1 is which compound?
NdThBr5


Repeat the third record exactly.
## La3TaRu (PBE-GGA)

Data for crystalline La3TaRu at its relaxed geometry.

POSCAR file:
```
La3TaRu
1.0
5.385 0.000 0.000
0.000 5.385 0.000
0.000 0.000 5.385
La Ta Ru
3 1 1
Cartesian
2.693 0.000 0.000
0.000 2.693 0.000
0.000 0.000 2.693
2.693 2.693 2.693
0.000 0.000 0.000
```

Computed properties:
Symmetry   Pm-3m (221)
DOS(E_F)   11.46 states/eV/f.u.
Volume   156.2 Å³/cell
Formation enthalpy at 0 K   593 meV per atom
Distance to the lowest polymorph of the same formula   0.000 eV per atom


DOS(E_F) of number 1 (NdThBr5)?
2.77 states/eV/f.u.